No. 1
First-principles (PBE-GGA) data for LiZrTl after structural relaxation, as listed in the Alexandria database.

## Properties
As for the uncorrected energy: -4.354 eV/atom. The value obtained for the formation energy is -0.0783 eV per atom. Its density of states at the Fermi level is 2.1 states/eV/f.u.

Unit cell a=3.491 b=4.323 c=17.153 alpha=90.00 beta=90.00 gamma=90.00
Space group Immm (No. 71)
Unique sites:
Li  0.000  0.000  0.000
Li  0.000  0.000  0.500
Zr  0.000  0.500  0.197
Tl  0.000  0.500  0.379

***

No. 2
First-principles (PBE-GGA) data for LiZrTl2 after structural relaxation, as listed in the Alexandria database.

## Properties
As for the uncorrected energy: -3.919 eV/atom. The value obtained for the formation energy is -0.1201 eV per atom. Its density of states at the Fermi level is 2.7 states/eV/f.u.

Unit cell a=7.375 b=7.398 c=3.304 alpha=90.00 beta=90.00 gamma=90.00
Space group Cmmm (No. 65)
Unique sites:
Li  0.000  0.000  0.000
Zr  0.000  0.500  0.000
Tl  0.250  0.250  0.500

***

No. 3
First-principles (PBE-GGA) data for LiZrTl after structural relaxation, as listed in the Alexandria database.

## Properties
As for the uncorrected energy: -4.358 eV/atom. The value obtained for the formation energy is -0.0820 eV per atom. Its density of states at the Fermi level is 2.8 states/eV/f.u.

Unit cell a=5.167 b=3.285 c=15.562 alpha=90.00 beta=90.00 gamma=90.00
Space group Amm2 (No. 38)
Unique sites:
Li  0.000  0.000  0.000
Li  0.000  0.000  0.334
Zr  0.500  0.000  0.196
Zr  0.500  0.000  0.534
Tl  0.000  0.000  0.653
Tl  0.500  0.000  0.868

***

Which formula does entry 2 have?
LiZrTl2

***

Which of these has the highest uncorrected energy?
LiZrTl2

***

Which of these has the lowest uncorrected energy?
number 3